Computed, not measured: a relaxed structure of TiPd2RuN at the GGA-PBEsol level of DFT.

```
data_TiPd2RuN
_chemical_formula_sum 'Ti1 Pd2 Ru1 N1'
_space_group_name_H-M_alt 'P 4/m m m'
_space_group_IT_number 123
_space_group_name_Hall '-P 4 2'
_cell_length_a 4.6663
_cell_length_b 4.6663
_cell_length_c 3.6934
_cell_angle_alpha 90.00
_cell_angle_beta 90.00
_cell_angle_gamma 90.00
loop_
_atom_site_label
_atom_site_fract_x
_atom_site_fract_y
_atom_site_fract_z
Ti1 0.0000 0.0000 0.0000
Pd1 0.0000 0.5000 0.0000
Ru1 0.5000 0.5000 0.5000
N1 0.0000 0.0000 0.5000
```

Computed properties:
Formation energy from raw total energies: 0.951 eV/atom